DFT (PBE-GGA) results for a geometry-optimized KBi3Au structure.

Energy of formation = 0.110 eV/atom
VASP energy = -3.09 eV per atom
ΔE to the lowest computed polymorph = 279 meV/atom

Cell: 5.705 5.705 5.705 Å, 90.00 90.00 90.00°
Space group Pm-3m (No. 221)
Inequivalent atoms, fractional coordinates:
K1 0.000 0.000 0.000 x1
Bi1 0.000 0.500 0.500 x3
Au1 0.500 0.500 0.500 x1